# ErPuMn2O8 | Alexandria | GGA+U | relaxed
# magnetization = 0.750 μB/atom
# E_tot = -8.2259 eV/atom
# Fermi-level density of states = 4.69 states/eV/f.u.
data_ErPuMn2O8
_chemical_formula_sum 'Er1 Pu1 Mn2 O8'
_space_group_name_H-M_alt 'P 1'
_space_group_IT_number 1
_space_group_name_Hall 'P 1'
_cell_length_a 5.9333
_cell_length_b 5.9333
_cell_length_c 5.9333
_cell_angle_alpha 108.39
_cell_angle_beta 108.39
_cell_angle_gamma 111.65
loop_
_atom_site_label
_atom_site_fract_x
_atom_site_fract_y
_atom_site_fract_z
Er1 0.0000 0.0000 0.0000
Pu1 0.2500 0.7500 0.5000
Mn1 0.5000 0.5000 0.0000
Mn2 0.7500 0.2500 0.5000
O1 0.2901 0.0849 0.7949
O2 0.2901 0.4952 0.2051
O3 0.3949 0.0788 0.3161
O4 0.5048 0.7099 0.7949
O5 0.7626 0.0788 0.6839
O6 0.9151 0.7099 0.2051
O7 0.9212 0.2374 0.3161
O8 0.9212 0.6051 0.6839